1.
Below is a relaxed Tb3TlHg4 crystal, with properties calculated at the PBE-GGA level.

Calculated values
D(E_F) = 4.8 states/eV/f.u.
density = 11.9 Mg/m³
relative energy among the computed polymorphs = 0 meV per atom

Cell and atoms, written as CIF:
```
data_Tb3TlHg4
_cell_length_a 5.2002
_cell_length_b 5.2002
_cell_length_c 26.4230
_cell_angle_alpha 90.00
_cell_angle_beta 90.00
_cell_angle_gamma 120.00
_space_group_name_H-M_alt 'R -3 m'
_space_group_IT_number 166
_space_group_name_Hall '-R 3 2"'
loop_
_atom_site_label
_atom_site_type_symbol
_atom_site_fract_x
_atom_site_fract_y
_atom_site_fract_z
Tb1 Tb 0.0000 0.0000 0.0000
Tb2 Tb 0.0000 0.0000 0.2425
Tl1 Tl 0.0000 0.0000 0.5000
Hg1 Hg 0.0000 0.0000 0.1193
Hg2 Hg 0.0000 0.0000 0.3672
```


2.
Below is a relaxed LaCuO3 crystal, with properties calculated at the PBE-GGA level.

Calculated values
D(E_F) = 2.0 states/eV/f.u.
density = 6.5 Mg/m³
energy = -131.29 eV for the cell shown

Cell and atoms, written as CIF:
```
data_LaCuO3
_cell_length_a 4.250
_cell_length_b 10.482
_cell_length_c 5.726
_cell_angle_alpha 90.00
_cell_angle_beta 90.00
_cell_angle_gamma 90.00
_space_group_name_H-M_alt 'C m c m'
_space_group_IT_number 63
_space_group_name_Hall '-C 2c 2'
loop_
_atom_site_label
_atom_site_type_symbol
_atom_site_fract_x
_atom_site_fract_y
_atom_site_fract_z
La1 La 0.000 0.177 0.250
Cu1 Cu 0.000 0.476 0.250
O1 O 0.000 0.046 0.750
O2 O 0.000 0.364 0.524
```


3.
Below is a relaxed Fe3Br crystal, with properties calculated at the PBE-GGA level.

Calculated values
D(E_F) = 2.3 states/eV/f.u.
density = 4.8 Mg/m³
relative energy among the computed polymorphs = 0 meV per atom

Cell and atoms, written as CIF:
```
data_Fe3Br
_cell_length_a 4.118
_cell_length_b 5.002
_cell_length_c 8.253
_cell_angle_alpha 90.00
_cell_angle_beta 90.00
_cell_angle_gamma 90.00
_space_group_name_H-M_alt 'P m m n'
_space_group_IT_number 59
loop_
_space_group_symop_operation_xyz
'x,y,z'
'-x,-y,-z'
'-x+1/2,-y+1/2,z'
'x+1/2,y+1/2,-z'
'x+1/2,-y,-z'
'-x+1/2,y,z'
'-x,y+1/2,-z'
'x,-y+1/2,z'
loop_
_atom_site_label
_atom_site_type_symbol
_atom_site_fract_x
_atom_site_fract_y
_atom_site_fract_z
Fe1 Fe 0.250 0.000 0.085
Fe2 Fe 0.250 0.250 0.836
Br1 Br 0.250 0.750 0.366
```


> Look up the density of the third one.

4.8 Mg/m³


What did the third record say?
Below is a relaxed Fe3Br crystal, with properties calculated at the PBE-GGA level.

Calculated values
D(E_F) = 2.3 states/eV/f.u.
density = 4.8 Mg/m³
relative energy among the computed polymorphs = 0 meV per atom

Cell and atoms, written as CIF:
```
data_Fe3Br
_cell_length_a 4.118
_cell_length_b 5.002
_cell_length_c 8.253
_cell_angle_alpha 90.00
_cell_angle_beta 90.00
_cell_angle_gamma 90.00
_space_group_name_H-M_alt 'P m m n'
_space_group_IT_number 59
loop_
_space_group_symop_operation_xyz
'x,y,z'
'-x,-y,-z'
'-x+1/2,-y+1/2,z'
'x+1/2,y+1/2,-z'
'x+1/2,-y,-z'
'-x+1/2,y,z'
'-x,y+1/2,-z'
'x,-y+1/2,z'
loop_
_atom_site_label
_atom_site_type_symbol
_atom_site_fract_x
_atom_site_fract_y
_atom_site_fract_z
Fe1 Fe 0.250 0.000 0.085
Fe2 Fe 0.250 0.250 0.836
Br1 Br 0.250 0.750 0.366
```